A plane-wave DFT calculation with PBE-GGA was carried out for a geometry-optimized Fe2AgW structure.

a b c (Å): 2.706 2.706 27.594
angles (deg): 90.00 90.00 120.00
Sites, in units of the cell vectors:
1 Fe 0.000 0.000 0.248
2 Fe 0.000 0.000 0.752
3 Fe 0.333 0.667 0.418
4 Fe 0.333 0.667 0.915
5 Fe 0.667 0.333 0.085
6 Fe 0.667 0.333 0.582
7 Ag 0.000 0.000 0.000
8 Ag 0.333 0.667 0.667
9 Ag 0.667 0.333 0.333
10 W 0.000 0.000 0.500
11 W 0.333 0.667 0.167
12 W 0.667 0.333 0.833

Output
VASP energy ... -7.75 eV per atom
E_form ... 431 meV per atom
Polymorph energy (0 for the lowest one) ... 0.131 eV per atom
Magnetic moment ... 1.1100 μB/atom

---

A plane-wave DFT calculation with PBE-GGA was carried out for a geometry-optimized Rb2AsPF6 structure.

a b c (Å): 6.955 6.955 6.955
angles (deg): 129.89 129.89 73.58
Sites, in units of the cell vectors:
1 Rb 0.250 0.750 0.500
2 Rb 0.750 0.250 0.500
3 As 0.000 0.000 0.000
4 P 0.500 0.500 0.000
5 F 0.182 0.182 0.000
6 F 0.249 0.249 0.498
7 F 0.249 0.751 0.000
8 F 0.751 0.249 0.000
9 F 0.751 0.751 0.502
10 F 0.818 0.818 0.000

Output
VASP energy ... -4.26 eV per atom
Magnetic moment ... 0.0000 μB/atom

---

A plane-wave DFT calculation with PBE-GGA was carried out for a geometry-optimized ZrCo2AgSe structure.

a b c (Å): 4.625 4.625 5.187
angles (deg): 90.00 90.00 90.00
Sites, in units of the cell vectors:
1 Zr 0.000 0.000 0.000
2 Co 0.000 0.500 0.500
3 Co 0.500 0.000 0.500
4 Ag 0.000 0.000 0.500
5 Se 0.500 0.500 0.000

Output
VASP energy ... -4.67 eV per atom
Magnetic moment ... 0.7865 μB/atom

---

A plane-wave DFT calculation with PBE-GGA was carried out for a geometry-optimized Cs6Au2IO structure.

a b c (Å): 8.694 9.365 15.117
angles (deg): 90.00 124.11 90.00
Sites, in units of the cell vectors:
1 Cs 0.080 0.056 0.212
2 Cs 0.080 0.444 0.712
3 Cs 0.225 0.726 0.076
4 Cs 0.225 0.774 0.576
5 Cs 0.330 0.158 0.059
6 Cs 0.330 0.342 0.559
7 Cs 0.670 0.658 0.441
8 Cs 0.670 0.842 0.941
9 Cs 0.775 0.226 0.424
10 Cs 0.775 0.274 0.924
11 Cs 0.920 0.556 0.288
12 Cs 0.920 0.944 0.788
13 Au 0.286 0.086 0.753
14 Au 0.286 0.414 0.253
15 Au 0.714 0.586 0.747
16 Au 0.714 0.914 0.247
17 I 0.500 0.000 0.500
18 I 0.500 0.500 0.000
19 O 0.000 0.000 0.000
20 O 0.000 0.500 0.500

Output
VASP energy ... -2.53 eV per atom
Magnetic moment ... 0.0000 μB/atom

---

Which of these has the highest VASP energy? Cs6Au2IO

---

Look up the VASP energy of the second one. -4.26 eV per atom

---

What is the VASP energy in the first record? -7.75 eV per atom